Arrangement A

First-principles (PBEsol) data for a relaxed Be2ZnHg crystal, as listed in the Alexandria database.

a b c (Å): 4.6280 4.6280 4.6280
angles (deg): 132.92 132.92 68.79
Atoms (fractional coordinates):
Be 0.0000 0.0000 0.0000
Be 0.7500 0.2500 0.5000
Zn 0.2500 0.7500 0.5000
Hg 0.5000 0.5000 0.0000

Total magnetization   0.00 μB per formula unit



Arrangement B

First-principles (PBEsol) data for a relaxed Be2ZnHg crystal, as listed in the Alexandria database.

a b c (Å): 8.2955 8.2955 8.2955
angles (deg): 19.54 19.54 19.54
Atoms (fractional coordinates):
Be 0.0000 0.0000 0.0000
Be 0.2669 0.2669 0.2669
Zn 0.7422 0.7422 0.7422
Hg 0.5121 0.5121 0.5121

Total magnetization   0.00 μB per formula unit



Arrangement C

First-principles (PBEsol) data for a relaxed Be2ZnHg crystal, as listed in the Alexandria database.

a b c (Å): 8.0327 8.0327 8.0327
angles (deg): 20.41 20.41 20.41
Atoms (fractional coordinates):
Be 0.2446 0.2446 0.2446
Be 0.7554 0.7554 0.7554
Zn 0.5000 0.5000 0.5000
Hg 0.0000 0.0000 0.0000

Total magnetization   0.00 μB per formula unit



Quick one: most stable of them? arrangement A



Arrangement A

First-principles (PBEsol) data for a relaxed BeZnHg2 crystal, as listed in the Alexandria database.

a b c (Å): 5.4727 5.4727 5.4727
angles (deg): 150.57 113.91 73.96
Atoms (fractional coordinates):
Be 0.0000 0.0000 0.0000
Zn 0.5000 0.5000 0.0000
Hg 0.2307 0.7307 0.5000
Hg 0.7693 0.2693 0.5000

Total magnetization   0.00 μB per formula unit



Arrangement B

First-principles (PBEsol) data for a relaxed BeZnHg2 crystal, as listed in the Alexandria database.

a b c (Å): 4.5777 4.5777 3.3066
angles (deg): 90.00 90.00 103.92
Atoms (fractional coordinates):
Be 0.0000 0.0000 0.0000
Zn 0.5000 0.5000 0.0000
Hg 0.0000 0.5000 0.5000
Hg 0.5000 0.0000 0.5000

Total magnetization   0.00 μB per formula unit



Quick one: most stable of them? arrangement A



Arrangement A

First-principles (PBEsol) data for a relaxed LaBeTe2I crystal, as listed in the Alexandria database.

a b c (Å): 5.1521 5.1521 5.0899
angles (deg): 90.00 90.00 90.00
Atoms (fractional coordinates):
La 0.0000 0.0000 0.0000
Be 0.5000 0.5000 0.5000
Te 0.0000 0.5000 0.5000
Te 0.5000 0.0000 0.5000
I 0.5000 0.5000 0.0000

Total magnetization   0.00 μB per formula unit



Arrangement B

First-principles (PBEsol) data for a relaxed LaBeTe2I crystal, as listed in the Alexandria database.

a b c (Å): 6.1091 6.1091 6.0951
angles (deg): 90.00 90.00 90.00
Atoms (fractional coordinates):
La 0.0000 0.0000 0.0000
Be 0.5000 0.5000 0.5000
Te 0.0000 0.5000 0.0000
Te 0.5000 0.0000 0.0000
I 0.0000 0.0000 0.5000

Total magnetization   0.00 μB per formula unit



Quick one: most stable of them? arrangement A



Arrangement A

First-principles (PBEsol) data for a relaxed Li2BeIn crystal, as listed in the Alexandria database.

a b c (Å): 3.5167 4.0148 4.2636
angles (deg): 90.00 90.00 90.00
Atoms (fractional coordinates):
Li 0.0000 0.0000 0.0000
Li 0.5000 0.5000 0.0000
Be 0.0000 0.5000 0.5000
In 0.5000 0.0000 0.5000

Total magnetization   0.00 μB per formula unit



Arrangement B

First-principles (PBEsol) data for a relaxed Li2BeIn crystal, as listed in the Alexandria database.

a b c (Å): 4.3391 4.3391 4.3391
angles (deg): 60.00 60.00 60.00
Atoms (fractional coordinates):
Li 0.2500 0.2500 0.2500
Li 0.7500 0.7500 0.7500
Be 0.0000 0.0000 0.0000
In 0.5000 0.5000 0.5000

Total magnetization   0.00 μB per formula unit



Quick one: most stable of them? arrangement A